[1]
# LuPaTe2

LuPaTe2 after structural relaxation (PBE, Alexandria).

abc: 3.739 3.739 7.408
angles: 90.00 90.00 90.00
Positions (direct):
1 Pa 0.500 0.500 0.000
2 Lu 0.500 0.500 0.500
3 Te 0.000 0.000 0.247
4 Te 0.000 0.000 0.753

## Properties
The calculation puts the excess energy over the best structure of this formula in the dataset at 0.00 kcal/mol of atoms. The density of states at the Fermi level comes out at 6.0 states/eV per cell. As for the uncorrected formation energy: -0.813 eV/atom. As for the space group: P4/mmm, No. 123. The theoretical density is 10.60 g/cm³.



[2]
# YZn3W

YZn3W after structural relaxation (PBE, Alexandria).

abc: 5.021 5.021 5.021
angles: 90.00 90.00 90.00
Positions (direct):
1 Zn 0.500 0.000 0.000
2 Zn 0.000 0.000 0.500
3 Zn 0.000 0.500 0.000
4 Y 0.000 0.000 0.000
5 W 0.500 0.500 0.500

## Properties
The calculation puts the excess energy over the best structure of this formula in the dataset at 35.71 kcal/mol of atoms. The density of states at the Fermi level comes out at 9.0 states/eV per cell. As for the space group: Pm-3m, No. 221. The theoretical density is 6.15 g/cm³.



[3]
# Ho4PaSe5

Ho4PaSe5 after structural relaxation (PBE, Alexandria).

abc: 3.999 3.999 17.215
angles: 83.33 83.33 60.00
Positions (direct):
1 Pa 0.500 0.500 0.500
2 Se 0.799 0.799 0.604
3 Se 0.601 0.601 0.198
4 Se 0.201 0.201 0.396
5 Se 0.000 0.000 0.000
6 Se 0.399 0.399 0.802
7 Ho 0.100 0.100 0.699
8 Ho 0.699 0.699 0.904
9 Ho 0.900 0.900 0.301
10 Ho 0.301 0.301 0.096

## Properties
The density of states at the Fermi level comes out at 7.4 states/eV per cell. As for the uncorrected formation energy: -1.618 eV/atom. As for the space group: R-3m, No. 166. The theoretical density is 9.03 g/cm³.



[4]
# TaHS2

TaHS2 after structural relaxation (PBE, Alexandria).

abc: 3.358 5.992 6.930
angles: 103.14 104.17 90.01
Positions (direct):
1 S 0.588 0.303 0.785
2 S 0.872 0.035 0.357
3 S 0.354 0.511 0.321
4 S 0.106 0.826 0.821
5 Ta 0.480 0.885 0.571
6 Ta 0.980 0.453 0.571
7 H 0.246 0.431 0.109
8 H 0.214 0.906 0.032

## Properties
The calculation puts the excess energy over the best structure of this formula in the dataset at 5.86 kcal/mol of atoms. The density of states at the Fermi level comes out at 0.1 states/eV per cell. As for the space group: P-1, No. 2. The theoretical density is 6.22 g/cm³.